Here is Ac2AlSn3 after structural relaxation from Alexandria. Energies are from GGA-PBE.

CIF file:
```
data_Ac2AlSn3
_chemical_formula_sum 'Ac4 Al2 Sn6'
_cell_length_a 9.8443
_cell_length_b 9.6553
_cell_length_c 6.6081
_cell_angle_alpha 71.74
_cell_angle_beta 68.66
_cell_angle_gamma 39.60
_space_group_name_H-M_alt 'P 1'
_space_group_IT_number 1
loop_
_space_group_symop_operation_xyz
'x,y,z'
loop_
_atom_site_label
_atom_site_type_symbol
_atom_site_fract_x
_atom_site_fract_y
_atom_site_fract_z
Ac1 Ac 0.2430 0.7570 0.7570
Ac2 Ac 0.2500 0.2500 0.2500
Ac3 Ac 0.7500 0.7500 0.7500
Ac4 Ac 0.7570 0.2430 0.2430
Al1 Al 0.3333 0.3333 0.6667
Al2 Al 0.6667 0.6667 0.3333
Sn1 Sn 0.1752 0.1752 0.8248
Sn2 Sn 0.1769 0.6514 0.3486
Sn3 Sn 0.3486 0.8231 0.1769
Sn4 Sn 0.6514 0.1769 0.8231
Sn5 Sn 0.8231 0.3486 0.6514
Sn6 Sn 0.8248 0.8248 0.1752
```

Values from the calculation:
Energy in eV/atom: -4.5082
V in A^3/atom: 31.03
Formation energy from the elements in eV/atom: -0.51
SG: No. 69

=====

Here is CaHoAuO4 after structural relaxation from Alexandria. Energies are from GGA-PBE.

CIF file:
```
data_CaHoAuO4
_chemical_formula_sum 'Ca2 Ho2 Au2 O8'
_cell_length_a 6.1345
_cell_length_b 6.1345
_cell_length_c 6.7403
_cell_angle_alpha 90.00
_cell_angle_beta 90.00
_cell_angle_gamma 120.56
_space_group_name_H-M_alt 'P 1'
_space_group_IT_number 1
loop_
_space_group_symop_operation_xyz
'x,y,z'
loop_
_atom_site_label
_atom_site_type_symbol
_atom_site_fract_x
_atom_site_fract_y
_atom_site_fract_z
Ca1 Ca 0.0000 0.0000 0.0000
Ca2 Ca 0.0000 0.0000 0.5000
Ho1 Ho 0.3325 0.6675 0.7500
Ho2 Ho 0.6675 0.3325 0.2500
Au1 Au 0.3572 0.6428 0.2500
Au2 Au 0.6428 0.3572 0.7500
O1 O 0.2200 0.7800 0.0214
O2 O 0.2200 0.7800 0.4786
O3 O 0.2558 0.2809 0.7500
O4 O 0.2809 0.2558 0.2500
O5 O 0.7191 0.7442 0.7500
O6 O 0.7442 0.7191 0.2500
O7 O 0.7800 0.2200 0.5214
O8 O 0.7800 0.2200 0.9786
```

Values from the calculation:
Energy in eV/atom: -6.0366
V in A^3/atom: 15.60
SG: No. 63

=====

Here is BePbBr2 after structural relaxation from Alexandria. Energies are from GGA-PBE.

CIF file:
```
data_BePbBr2
_chemical_formula_sum 'Be1 Pb1 Br2'
_cell_length_a 3.9051
_cell_length_b 3.9051
_cell_length_c 9.1648
_cell_angle_alpha 90.00
_cell_angle_beta 90.00
_cell_angle_gamma 124.89
_space_group_name_H-M_alt 'P 1'
_space_group_IT_number 1
loop_
_space_group_symop_operation_xyz
'x,y,z'
loop_
_atom_site_label
_atom_site_type_symbol
_atom_site_fract_x
_atom_site_fract_y
_atom_site_fract_z
Be1 Be 0.0000 0.0000 0.0000
Pb1 Pb 0.5000 0.5000 0.2272
Br1 Br 0.0000 0.0000 0.4759
Br2 Br 0.5000 0.5000 0.8549
```

Values from the calculation:
Offset from the most stable computed form in kJ/mol of formula units: 101
Energy in eV/atom: -2.8590
V in A^3/atom: 28.66
SG: No. 35

=====

Here is Pm2AlSi4Rh3 after structural relaxation from Alexandria. Energies are from GGA-PBE.

CIF file:
```
data_Pm2AlSi4Rh3
_chemical_formula_sum 'Pm2 Al1 Si4 Rh3'
_cell_length_a 4.1375
_cell_length_b 4.1375
_cell_length_c 10.2061
_cell_angle_alpha 90.00
_cell_angle_beta 90.00
_cell_angle_gamma 90.00
_space_group_name_H-M_alt 'P 1'
_space_group_IT_number 1
loop_
_space_group_symop_operation_xyz
'x,y,z'
loop_
_atom_site_label
_atom_site_type_symbol
_atom_site_fract_x
_atom_site_fract_y
_atom_site_fract_z
Pm1 Pm 0.0000 0.5000 0.2413
Pm2 Pm 0.5000 0.0000 0.7587
Al1 Al 0.0000 0.0000 0.5000
Si1 Si 0.0000 0.0000 0.0000
Si2 Si 0.0000 0.5000 0.6452
Si3 Si 0.5000 0.0000 0.3548
Si4 Si 0.5000 0.5000 0.0000
Rh1 Rh 0.0000 0.5000 0.8797
Rh2 Rh 0.5000 0.0000 0.1203
Rh3 Rh 0.5000 0.5000 0.5000
```

Values from the calculation:
Energy in eV/atom: -6.6302
V in A^3/atom: 17.47
SG: No. 115

=====

Here is AlCoC3 after structural relaxation from Alexandria. Energies are from GGA-PBE.

CIF file:
```
data_AlCoC3
_chemical_formula_sum 'Al1 Co1 C3'
_cell_length_a 3.7441
_cell_length_b 3.7441
_cell_length_c 3.7441
_cell_angle_alpha 90.00
_cell_angle_beta 90.00
_cell_angle_gamma 90.00
_space_group_name_H-M_alt 'P 1'
_space_group_IT_number 1
loop_
_space_group_symop_operation_xyz
'x,y,z'
loop_
_atom_site_label
_atom_site_type_symbol
_atom_site_fract_x
_atom_site_fract_y
_atom_site_fract_z
Al1 Al 0.0000 0.0000 0.0000
Co1 Co 0.5000 0.5000 0.5000
C1 C 0.0000 0.5000 0.5000
C2 C 0.5000 0.0000 0.5000
C3 C 0.5000 0.5000 0.0000
```

Values from the calculation:
Offset from the most stable computed form in kJ/mol of formula units: 0
Energy in eV/atom: -5.7665
V in A^3/atom: 10.50
Formation energy from the elements in eV/atom: 1.94
SG: No. 221

=====

Here is Sr3La after structural relaxation from Alexandria. Energies are from GGA-PBE.

CIF file:
```
data_Sr3La
_chemical_formula_sum 'Sr12 La4'
_cell_length_a 8.2404
_cell_length_b 8.2404
_cell_length_c 13.3636
_cell_angle_alpha 90.00
_cell_angle_beta 90.00
_cell_angle_gamma 120.00
_space_group_name_H-M_alt 'P 1'
_space_group_IT_number 1
loop_
_space_group_symop_operation_xyz
'x,y,z'
loop_
_atom_site_label
_atom_site_type_symbol
_atom_site_fract_x
_atom_site_fract_y
_atom_site_fract_z
Sr1 Sr 0.0000 0.5000 0.0000
Sr2 Sr 0.0000 0.5000 0.5000
Sr3 Sr 0.1625 0.3249 0.2500
Sr4 Sr 0.1625 0.8375 0.2500
Sr5 Sr 0.3249 0.1625 0.7500
Sr6 Sr 0.5000 0.0000 0.0000
Sr7 Sr 0.5000 0.0000 0.5000
Sr8 Sr 0.5000 0.5000 0.0000
Sr9 Sr 0.5000 0.5000 0.5000
Sr10 Sr 0.6751 0.8375 0.2500
Sr11 Sr 0.8375 0.1625 0.7500
Sr12 Sr 0.8375 0.6751 0.7500
La1 La 0.0000 0.0000 0.0000
La2 La 0.0000 0.0000 0.5000
La3 La 0.3333 0.6667 0.7500
La4 La 0.6667 0.3333 0.2500
```

Values from the calculation:
Offset from the most stable computed form in kJ/mol of formula units: 24
Energy in eV/atom: -2.3366
V in A^3/atom: 49.12
Formation energy from the elements in eV/atom: 0.16
SG: No. 194

=====

Here is ScNi2Ag after structural relaxation from Alexandria. Energies are from GGA-PBE.

CIF file:
```
data_ScNi2Ag
_chemical_formula_sum 'Sc1 Ni2 Ag1'
_cell_length_a 4.5755
_cell_length_b 4.5728
_cell_length_c 4.0746
_cell_angle_alpha 63.59
_cell_angle_beta 63.52
_cell_angle_gamma 52.90
_space_group_name_H-M_alt 'P 1'
_space_group_IT_number 1
loop_
_space_group_symop_operation_xyz
'x,y,z'
loop_
_atom_site_label
_atom_site_type_symbol
_atom_site_fract_x
_atom_site_fract_y
_atom_site_fract_z
Sc1 Sc 0.0000 0.0000 0.0000
Ni1 Ni 0.2500 0.2500 0.2500
Ni2 Ni 0.7500 0.7500 0.7500
Ag1 Ag 0.5000 0.5000 0.5000
```

Values from the calculation:
Energy in eV/atom: -5.4239
V in A^3/atom: 14.75
Formation energy from the elements in eV/atom: -0.24
SG: No. 69

=====

Here is La2Pr5ErTm after structural relaxation from Alexandria. Energies are from GGA-PBE.

CIF file:
```
data_La2Pr5ErTm
_chemical_formula_sum 'La4 Pr10 Er2 Tm2'
_cell_length_a 10.5870
_cell_length_b 10.5870
_cell_length_c 10.5870
_cell_angle_alpha 132.20
_cell_angle_beta 132.20
_cell_angle_gamma 69.91
_space_group_name_H-M_alt 'P 1'
_space_group_IT_number 1
loop_
_space_group_symop_operation_xyz
'x,y,z'
loop_
_atom_site_label
_atom_site_type_symbol
_atom_site_fract_x
_atom_site_fract_y
_atom_site_fract_z
La1 La 0.1246 0.6246 0.7492
La2 La 0.3754 0.1246 0.5000
La3 La 0.6246 0.8754 0.5000
La4 La 0.8754 0.3754 0.2508
Pr1 Pr 0.0000 0.0000 0.0000
Pr2 Pr 0.0792 0.1289 0.5000
Pr3 Pr 0.1289 0.6289 0.0497
Pr4 Pr 0.3711 0.4208 0.5000
Pr5 Pr 0.4208 0.9208 0.0497
Pr6 Pr 0.5000 0.5000 0.0000
Pr7 Pr 0.5792 0.0792 0.9503
Pr8 Pr 0.6289 0.5792 0.5000
Pr9 Pr 0.8711 0.3711 0.9503
Pr10 Pr 0.9208 0.8711 0.5000
Er1 Er 0.2500 0.2500 0.0000
Er2 Er 0.7500 0.7500 0.0000
Tm1 Tm 0.2500 0.7500 0.5000
Tm2 Tm 0.7500 0.2500 0.5000
```

Values from the calculation:
Energy in eV/atom: -4.5103
V in A^3/atom: 35.47
Formation energy from the elements in eV/atom: 0.24
SG: No. 140